Record 1
The following is a GGA-PBEsol calculation of crystalline SbS3N at its relaxed geometry, from the Alexandria database.

a b c (Å): 4.9826 4.9826 4.9826
angles (deg): 90.00 90.00 90.00
Site moments in Bohr magnetons follow the coordinates.
Atoms (fractional coordinates):
Sb  0.0000  0.0000  0.0000  0.01
S  0.0000  0.5000  0.0000  -0.02
S  0.0000  0.0000  0.5000  -0.02
S  0.5000  0.0000  0.0000  -0.02
N  0.5000  0.5000  0.5000  1.86

## Properties
E_tot (eV/atom): -3.65
Calculated density (g/cm³): 3.11

***

Record 2
The following is a GGA-PBEsol calculation of crystalline Gd3P4Pd7 at its relaxed geometry, from the Alexandria database.

a b c (Å): 3.9566 7.8602 8.1280
angles (deg): 71.32 75.91 75.42
Site moments in Bohr magnetons follow the coordinates.
Atoms (fractional coordinates):
Gd  0.6806  0.8170  0.8218  -6.93
Gd  0.3194  0.1830  0.1782  -6.93
Gd  0.0000  0.5000  0.5000  6.91
P  0.3402  0.5644  0.7552  -0.01
P  0.6598  0.4356  0.2448  -0.01
P  0.1061  0.1083  0.6795  0.00
P  0.8939  0.8917  0.3205  0.00
Pd  0.6933  0.1405  0.4728  -0.01
Pd  0.5104  0.7641  0.2150  0.00
Pd  0.1675  0.5874  0.0776  -0.02
Pd  0.3067  0.8595  0.5272  -0.01
Pd  0.8325  0.4126  0.9224  -0.02
Pd  0.0000  0.0000  0.0000  -0.02
Pd  0.4896  0.2359  0.7850  0.00

## Properties
E_tot (eV/atom): -8.78
Calculated density (g/cm³): 9.76

***

Q: The highest calculated density belongs to which entry?
A: Gd3P4Pd7

***

Q: Among the records above, which one has the highest E_tot?
A: SbS3N

***

Q: Which of these has the highest E_tot?
A: SbS3N